Entry 1:
Compound: CsCd2CoF8
Source: the Alexandria database
Functional: PBE with a Hubbard U
Structure: optimized geometry

Geometry as POSCAR:
```
CsCd2CoF8
1.0
-2.0073 -1.2234 4.5958
-1.7162 -4.5410 -1.8202
5.7341 -4.0907 2.0635
F Cd Co Cs
8 2 1 1
direct
0.7861 0.1584 0.1650
0.8793 0.2472 0.8160
0.4680 0.2634 0.5169
0.5320 0.7366 0.4831
0.6999 0.7211 0.9785
0.2139 0.8416 0.8350
0.1207 0.7528 0.1840
0.3001 0.2789 0.0215
0.5057 0.5092 0.2381
0.4943 0.4908 0.7619
0.0000 0.0000 0.0000
0.0000 0.0000 0.5000
```

Results
E = -47.86 eV/f.u.

=====

Entry 2:
Compound: Cs2CdCo3F12
Source: the Alexandria database
Functional: PBE with a Hubbard U
Structure: optimized geometry

Geometry as POSCAR:
```
Cs2CdCo3F12
1.0
7.5008 0.0499 0.0354
3.7477 6.4977 0.0354
3.7477 2.1815 6.1206
F Cd Co Cs
12 1 3 2
direct
0.9109 0.9109 0.3645
0.6986 0.6986 0.0792
0.9208 0.3014 0.3014
0.0891 0.0891 0.6355
0.6986 0.0792 0.6986
0.3014 0.9208 0.3014
0.0891 0.6355 0.0891
0.0792 0.6986 0.6986
0.6355 0.0891 0.0891
0.9109 0.3645 0.9109
0.3645 0.9109 0.9109
0.3014 0.3014 0.9208
0.0000 0.0000 0.0000
0.5000 0.0000 0.0000
0.0000 0.0000 0.5000
0.0000 0.5000 0.0000
0.3827 0.3827 0.3827
0.6173 0.6173 0.6173
```

Results
E = -80.25 eV/f.u.

=====

- What is the E in the first record?
  -47.86 eV/f.u.

=====

What did the first record say?
Compound: CsCd2CoF8
Source: the Alexandria database
Functional: PBE with a Hubbard U
Structure: optimized geometry

Geometry as POSCAR:
```
CsCd2CoF8
1.0
-2.0073 -1.2234 4.5958
-1.7162 -4.5410 -1.8202
5.7341 -4.0907 2.0635
F Cd Co Cs
8 2 1 1
direct
0.7861 0.1584 0.1650
0.8793 0.2472 0.8160
0.4680 0.2634 0.5169
0.5320 0.7366 0.4831
0.6999 0.7211 0.9785
0.2139 0.8416 0.8350
0.1207 0.7528 0.1840
0.3001 0.2789 0.0215
0.5057 0.5092 0.2381
0.4943 0.4908 0.7619
0.0000 0.0000 0.0000
0.0000 0.0000 0.5000
```

Results
E = -47.86 eV/f.u.

=====

- Which formula does entry 2 have?
  Cs2CdCo3F12